Entry 1:
Material: Ba2BeS
Method: DFT, PBE-GGA
State: optimized geometry

Calculated values
Energy relative to the elements, uncorrected = -0.33 eV per atom

Structure (CIF):
```
data_Ba2BeS
_symmetry_space_group_name_H-M 'F m -3 m'
_symmetry_Int_Tables_number 225
_symmetry_space_group_name_Hall '-F 4 2 3'
_cell_length_a 7.834
_cell_length_b 7.834
_cell_length_c 7.834
_cell_angle_alpha 90.00
_cell_angle_beta 90.00
_cell_angle_gamma 90.00
loop_
_atom_site_label
_atom_site_fract_x
_atom_site_fract_y
_atom_site_fract_z
Ba1 0.250 0.250 0.250
Be1 0.000 0.000 0.000
S1 0.000 0.000 0.500
```

Entry 2:
Material: AcTcC
Method: DFT, PBE-GGA
State: optimized geometry

Calculated values
Energy of formation = 0 meV/atom

Structure (CIF):
```
data_AcTcC
_symmetry_space_group_name_H-M 'C m c m'
_symmetry_Int_Tables_number 63
_symmetry_space_group_name_Hall '-C 2c 2'
_cell_length_a 5.464
_cell_length_b 11.425
_cell_length_c 4.056
_cell_angle_alpha 90.00
_cell_angle_beta 90.00
_cell_angle_gamma 90.00
loop_
_atom_site_label
_atom_site_fract_x
_atom_site_fract_y
_atom_site_fract_z
Ac1 0.000 0.149 0.250
Tc1 0.000 0.423 0.250
C1 0.000 0.396 0.750
```

Number 1: V 480.7 Å³/cell, relative energy among the computed polymorphs 47 meV per atom. Number 2: V 253.2 Å³/cell, relative energy among the computed polymorphs 0 meV per atom.